DyTiCd2: relaxed, GGA-PBE.

Unit cell a=3.527 b=3.527 c=7.198 alpha=90.00 beta=90.00 gamma=90.00
Each line ends with the local moment (μB).
Sites, in units of the cell vectors:
Dy 0.500 0.500 0.500  0.15
Cd 0.000 0.000 0.782  0.00
Cd 0.000 0.000 0.218  0.00
Ti 0.500 0.500 0.000  0.59

Summary:
Raw total energy = -3.652 eV per atom
Energy relative to the lowest polymorph listed for this composition = 0.0 kJ/mol of formula units
D(E_F) = 3.569 states/eV per cell
SG = No. 123

=====

DyTiCd: relaxed, GGA-PBE.

Unit cell a=5.245 b=5.615 c=6.185 alpha=78.58 beta=64.91 gamma=62.16
Sites, in units of the cell vectors:
Ti 0.195 0.610 0.000
Ti 0.805 0.390 0.000
Dy 0.631 0.000 0.737
Dy 0.369 0.000 0.263
Cd 0.250 0.500 0.500
Cd 0.750 0.500 0.500

Summary:
Raw total energy = -4.249 eV per atom
Energy relative to the lowest polymorph listed for this composition = 67.2 kJ/mol of formula units
D(E_F) = 8.298 states/eV per cell
SG = No. 69

=====

DyTiCd4: relaxed, GGA-PBE.

Unit cell a=5.752 b=5.752 c=5.752 alpha=60.00 beta=60.00 gamma=60.00
Each line ends with the local moment (μB).
Sites, in units of the cell vectors:
Cd 0.625 0.625 0.124  0.01
Cd 0.124 0.625 0.625  0.01
Cd 0.625 0.124 0.625  0.01
Cd 0.625 0.625 0.625  0.01
Ti 0.000 0.000 0.000  1.53
Dy 0.250 0.250 0.250  0.33

Summary:
Raw total energy = -2.735 eV per atom
D(E_F) = 5.178 states/eV per cell
SG = No. 216

=====

| no. | V (A^3/atom) |
| --- | --- |
| 1 | 22.38 |
| 2 | 24.31 |
| 3 | 22.43 |